[1]
BaLi2MgIn: relaxed, PBE. Values from VASP.

## Properties
Formation energy from the elements ... -6.6 kJ per mole of atoms
SG ... P4/mmm

Quantum ESPRESSO input file:
```
&SYSTEM
  ibrav = 0, nat = 5, ntyp = 4
/
ATOMIC_SPECIES
Ba 137.33 Ba.upf
Li 6.94 Li.upf
Mg 24.30 Mg.upf
In 114.82 In.upf
CELL_PARAMETERS angstrom
5.3762 0.0000 0.0000
0.0000 5.3762 0.0000
0.0000 0.0000 5.4256
ATOMIC_POSITIONS crystal
Ba 0.0000 0.0000 0.0000
Li 0.0000 0.5000 0.5000
Li 0.5000 0.0000 0.5000
Mg 0.5000 0.5000 0.0000
In 0.5000 0.5000 0.5000
```

---

[2]
PrSmDy2Er: relaxed, PBE. Values from VASP.

## Properties
Formation energy from the elements ... 37.1 kJ per mole of atoms
SG ... Cmcm

Quantum ESPRESSO input file:
```
&SYSTEM
  ibrav = 0, nat = 10, ntyp = 4
/
ATOMIC_SPECIES
Pr 140.91 Pr.upf
Sm 150.36 Sm.upf
Dy 162.50 Dy.upf
Er 167.26 Er.upf
CELL_PARAMETERS angstrom
4.2150 -5.7804 0.0000
4.2150 5.7804 0.0000
0.0000 0.0000 7.1867
ATOMIC_POSITIONS crystal
Pr 0.2294 0.7706 0.7500
Pr 0.7706 0.2294 0.2500
Sm 0.4984 0.5016 0.7500
Sm 0.5016 0.4984 0.2500
Dy 0.1878 0.1878 0.0000
Dy 0.1878 0.1878 0.5000
Dy 0.8122 0.8122 0.0000
Dy 0.8122 0.8122 0.5000
Er 0.2219 0.7781 0.2500
Er 0.7781 0.2219 0.7500
```

---

[3]
BeReTcRu: relaxed, PBE. Values from VASP.

## Properties
Formation energy from the elements ... -1.2 kJ per mole of atoms
SG ... F-43m

Quantum ESPRESSO input file:
```
&SYSTEM
  ibrav = 0, nat = 4, ntyp = 4
/
ATOMIC_SPECIES
Be 9.01 Be.upf
Re 186.21 Re.upf
Tc 98.00 Tc.upf
Ru 101.07 Ru.upf
CELL_PARAMETERS angstrom
0.0000 2.9911 2.9911
2.9911 0.0000 2.9911
2.9911 2.9911 0.0000
ATOMIC_POSITIONS crystal
Be 0.0000 0.0000 0.0000
Re 0.5000 0.5000 0.5000
Tc 0.2500 0.2500 0.2500
Ru 0.7500 0.7500 0.7500
```

---

[4]
GePbI3: relaxed, PBE. Values from VASP.

## Properties
Formation energy from raw total energies ... 20.65 kJ/mol of atoms
SG ... Pm-3m

Quantum ESPRESSO input file:
```
&SYSTEM
  ibrav = 0, nat = 5, ntyp = 3
/
ATOMIC_SPECIES
Ge 72.64 Ge.upf
Pb 207.20 Pb.upf
I 126.90 I.upf
CELL_PARAMETERS angstrom
6.2407 0.0000 0.0000
0.0000 6.2407 0.0000
0.0000 0.0000 6.2407
ATOMIC_POSITIONS crystal
Ge 0.0000 0.0000 0.0000
Pb 0.5000 0.5000 0.5000
I 0.0000 0.5000 0.5000
I 0.5000 0.0000 0.5000
I 0.5000 0.5000 0.0000
```

---

Table of M_tot (μB/cell), in record order: 0.0; 0.0; 0.0; 1.0
Table of Fermi-level density of states (states/eV/f.u.), in record order: 2.43; 8.29; 2.06; 3.54